The following is a DFT calculation (PBE-GGA) of crystalline HfZr2HN at its relaxed geometry.

Cell lengths 5.380, 4.037, 5.380 Å; angles 90.00, 90.00, 90.00 degrees
Atoms (fractional coordinates):
H  0.500  0.500  0.500
Hf  0.000  0.000  0.000
Zr  0.000  0.000  0.500
Zr  0.500  0.000  0.000
N  0.000  0.500  0.000

Results
E = -31.9 eV per cell
space-group type = P4/mmm
density = 5.341 g/cm3